LiFeBr3 | GGA-PBE | optimized geometry

a = 3.952 Å, b = 12.305 Å, c = 12.305 Å
α = 148.74°, β = 90.00°, γ = 90.00°
Positions (direct):
Li (0.250, 0.187, 0.813)
Li (0.750, 0.813, 0.187)
Fe (0.250, 0.330, 0.587)
Fe (0.750, 0.587, 0.330)
Br (0.250, 0.056, 0.494)
Br (0.250, 0.410, 0.254)
Br (0.250, 0.691, 0.952)
Br (0.750, 0.254, 0.410)
Br (0.750, 0.494, 0.056)
Br (0.750, 0.952, 0.691)

Properties
Fermi-level density of states   10.92 states/eV/cell
Energy relative to the elements, uncorrected   -831.2 meV/atom


ScBIN2 | GGA-PBE | optimized geometry

a = 4.079 Å, b = 4.079 Å, c = 6.271 Å
α = 90.00°, β = 90.00°, γ = 90.00°
Positions (direct):
Sc (0.000, 0.000, 0.000)
B (0.500, 0.500, 0.500)
I (0.000, 0.000, 0.500)
N (0.000, 0.500, 0.000)
N (0.500, 0.000, 0.000)

Properties
Fermi-level density of states   2.24 states/eV/cell
Energy relative to the elements, uncorrected   1378.1 meV/atom


ZnTcAs2Br | GGA-PBE | optimized geometry

a = 4.731 Å, b = 4.731 Å, c = 5.530 Å
α = 90.00°, β = 90.00°, γ = 90.00°
Positions (direct):
Zn (0.000, 0.000, 0.000)
Tc (0.500, 0.500, 0.500)
As (0.000, 0.500, 0.500)
As (0.500, 0.000, 0.500)
Br (0.500, 0.500, 0.000)

Properties
Fermi-level density of states   2.32 states/eV/cell
Energy relative to the elements, uncorrected   376.6 meV/atom


La2PW | GGA-PBE | optimized geometry

a = 9.009 Å, b = 9.009 Å, c = 9.009 Å
α = 24.09°, β = 24.09°, γ = 24.09°
Positions (direct):
La (0.000, 0.000, 0.000)
La (0.200, 0.200, 0.200)
P (0.462, 0.462, 0.462)
W (0.756, 0.756, 0.756)

Properties
DFT formation energy   -109 meV/atom
Fermi-level density of states   3.41 states/eV/cell


GeH4 | GGA-PBE | optimized geometry

a = 5.520 Å, b = 5.520 Å, c = 4.170 Å
α = 90.00°, β = 90.00°, γ = 138.20°
Positions (direct):
Ge (0.249, 0.751, 0.750)
Ge (0.751, 0.249, 0.250)
H (0.027, 0.973, 0.750)
H (0.048, 0.952, 0.250)
H (0.463, 0.537, 0.003)
H (0.463, 0.537, 0.497)
H (0.537, 0.463, 0.503)
H (0.537, 0.463, 0.997)
H (0.952, 0.048, 0.750)
H (0.973, 0.027, 0.250)

Properties
Raw total energy   -3.3110 eV per atom
Fermi-level density of states   2.06 states/eV/cell


Hf12Sb6Mo | GGA-PBE | optimized geometry

a = 8.380 Å, b = 8.380 Å, c = 8.380 Å
α = 109.58°, β = 109.58°, γ = 109.58°
Positions (direct):
Hf (0.008, 0.309, 0.877)
Hf (0.123, 0.992, 0.691)
Hf (0.134, 0.390, 0.307)
Hf (0.307, 0.134, 0.390)
Hf (0.309, 0.877, 0.008)
Hf (0.390, 0.307, 0.134)
Hf (0.610, 0.693, 0.866)
Hf (0.691, 0.123, 0.992)
Hf (0.693, 0.866, 0.610)
Hf (0.866, 0.610, 0.693)
Hf (0.877, 0.008, 0.309)
Hf (0.992, 0.691, 0.123)
Sb (0.213, 0.363, 0.672)
Sb (0.328, 0.787, 0.637)
Sb (0.363, 0.672, 0.213)
Sb (0.637, 0.328, 0.787)
Sb (0.672, 0.213, 0.363)
Sb (0.787, 0.637, 0.328)
Mo (0.000, 0.000, 0.000)

Properties
Fermi-level density of states   17.70 states/eV/cell
Energy relative to the elements, uncorrected   -216.0 meV/atom


CaPm4YS8 | GGA-PBE | optimized geometry

a = 8.233 Å, b = 8.233 Å, c = 8.233 Å
α = 60.32°, β = 60.32°, γ = 60.32°
Positions (direct):
Ca (0.000, 0.000, 0.000)
Pm (0.119, 0.627, 0.627)
Pm (0.249, 0.249, 0.249)
Pm (0.627, 0.119, 0.627)
Pm (0.627, 0.627, 0.119)
Y (0.627, 0.627, 0.627)
S (0.383, 0.383, 0.383)
S (0.387, 0.387, 0.848)
S (0.387, 0.848, 0.387)
S (0.403, 0.862, 0.862)
S (0.848, 0.387, 0.387)
S (0.862, 0.403, 0.862)
S (0.862, 0.862, 0.403)
S (0.866, 0.866, 0.866)

Properties
Fermi-level density of states   3.37 states/eV/cell
Energy relative to the elements, uncorrected   -1985.3 meV/atom


SrFe3I9 | GGA-PBE | optimized geometry

a = 11.646 Å, b = 11.646 Å, c = 14.990 Å
α = 125.77°, β = 125.77°, γ = 52.69°
Positions (direct):
Sr (0.227, 0.773, 0.500)
Sr (0.773, 0.227, 0.000)
Fe (0.172, 0.351, 0.784)
Fe (0.351, 0.172, 0.284)
Fe (0.558, 0.719, 0.322)
Fe (0.719, 0.558, 0.822)
Fe (0.731, 0.957, 0.159)
Fe (0.957, 0.731, 0.659)
I (0.004, 0.530, 0.920)
I (0.048, 0.891, 0.667)
I (0.075, 0.160, 0.580)
I (0.160, 0.075, 0.080)
I (0.210, 0.532, 0.761)
I (0.215, 0.438, 0.417)
I (0.332, 0.702, 0.302)
I (0.438, 0.215, 0.917)
I (0.530, 0.004, 0.420)
I (0.532, 0.210, 0.261)
I (0.559, 0.823, 0.951)
I (0.574, 0.599, 0.119)
I (0.599, 0.574, 0.619)
I (0.702, 0.332, 0.802)
I (0.768, 0.904, 0.770)
I (0.823, 0.559, 0.451)
I (0.891, 0.048, 0.167)
I (0.904, 0.768, 0.270)

Properties
Fermi-level density of states   23.27 states/eV/cell
Energy relative to the elements, uncorrected   -457.1 meV/atom


NbPS | GGA-PBE | optimized geometry

a = 6.697 Å, b = 6.697 Å, c = 6.697 Å
α = 149.97°, β = 138.62°, γ = 51.97°
Positions (direct):
Nb (0.124, 0.124, 0.000)
Nb (0.876, 0.876, 0.000)
P (0.263, 0.500, 0.763)
P (0.737, 0.500, 0.237)
S (0.287, 0.787, 0.500)
S (0.713, 0.213, 0.500)

Properties
Fermi-level density of states   3.58 states/eV/cell
Energy relative to the elements, uncorrected   -809.3 meV/atom


LaTa2Ru2 | GGA-PBE | optimized geometry

a = 6.225 Å, b = 6.225 Å, c = 6.225 Å
α = 138.04°, β = 138.04°, γ = 60.85°
Positions (direct):
La (0.000, 0.000, 0.000)
Ta (0.366, 0.366, 0.000)
Ta (0.634, 0.634, 0.000)
Ru (0.250, 0.750, 0.500)
Ru (0.750, 0.250, 0.500)

Properties
DFT formation energy   -4 meV/atom
Fermi-level density of states   5.02 states/eV/cell


AcPuBi2 | GGA-PBE | optimized geometry

a = 8.405 Å, b = 8.405 Å, c = 8.405 Å
α = 32.25°, β = 32.25°, γ = 32.25°
Positions (direct):
Ac (0.000, 0.000, 0.000)
Pu (0.171, 0.171, 0.171)
Bi (0.578, 0.578, 0.578)
Bi (0.760, 0.760, 0.760)

Properties
DFT formation energy   -558 meV/atom
Fermi-level density of states   15.33 states/eV/cell


LaPuTlOs | GGA-PBE | optimized geometry

a = 3.371 Å, b = 3.371 Å, c = 8.850 Å
α = 90.00°, β = 90.00°, γ = 90.00°
Positions (direct):
La (0.000, 0.000, 0.000)
Pu (0.000, 0.000, 0.596)
Tl (0.500, 0.500, 0.308)
Os (0.500, 0.500, 0.781)

Properties
DFT formation energy   -97 meV/atom
Fermi-level density of states   7.64 states/eV/cell